Record 1
## LaDyGe2 (PBE)

Data for a relaxed LaDyGe2 crystal.

Calculated values
Uncorrected energy = -5.355 eV per atom
Volume = 96.7 Å³ per cell
DFT formation energy = -0.663 eV per atom
SG = P4/mmm (123)

a b c (Å): 3.4296 3.4296 8.2211
angles (deg): 90.00 90.00 90.00
Closest atoms and distances in Å follow each position.
Fractional coordinates of all 4 atoms:
Ge: 0.0000 0.0000 0.7383  4 Dy 3.12, 4 La 3.24, 4 Ge 3.43
Ge: 0.0000 0.0000 0.2617  4 Dy 3.12, 4 La 3.24, 4 Ge 3.43
La: 0.5000 0.5000 0.0000  8 Ge 3.24, 4 La 3.43
Dy: 0.5000 0.5000 0.5000  8 Ge 3.12, 4 Dy 3.43

---

Record 2
## AlTcNi4 (PBE)

Data for a relaxed AlTcNi4 crystal.

Calculated values
Uncorrected energy = -6.272 eV per atom
Volume = 73.2 Å³ per cell
DFT formation energy = -0.066 eV per atom
SG = F-43m (216)

a b c (Å): 4.6949 4.6949 4.6949
angles (deg): 60.00 60.00 60.00
Closest atoms and distances in Å follow each position.
Fractional coordinates of all 6 atoms:
Al: 0.0000 0.0000 0.0000  12 Ni 2.75, 4 Tc 2.88
Tc: 0.7500 0.7500 0.7500  12 Ni 2.75, 4 Al 2.88
Ni: 0.8756 0.3748 0.3748  6 Ni 2.34-2.35
Ni: 0.3748 0.3748 0.8756  6 Ni 2.34-2.35
Ni: 0.3748 0.8756 0.3748  6 Ni 2.34-2.35
Ni: 0.3748 0.3748 0.3748  6 Ni 2.34-2.35